(1)
CdAg PBE-GGA optimized geometry; total moment = 0.0 μB per cell; E_form = 113 meV/atom; total energy = -28.33 eV/cell
1.0
10.897 0.000 0.000
0.000 10.897 0.000
0.000 0.000 2.869
Ag Cd
8 8
Direct
0.162 0.082 0.500 Ag
0.582 0.338 0.000 Ag
0.082 0.838 0.500 Ag
0.918 0.162 0.500 Ag
0.418 0.662 0.000 Ag
0.338 0.418 0.000 Ag
0.838 0.918 0.500 Ag
0.662 0.582 0.000 Ag
0.888 0.654 0.500 Cd
0.388 0.154 0.000 Cd
0.612 0.846 0.000 Cd
0.112 0.346 0.500 Cd
0.346 0.888 0.500 Cd
0.846 0.388 0.000 Cd
0.654 0.112 0.500 Cd
0.154 0.612 0.000 Cd



(2)
Cd2Ag3 PBE-GGA optimized geometry; total moment = 0.0 μB per cell; relative energy among the computed polymorphs = 4.0 kJ per mole of atoms; E_form = -5 meV/atom; total energy = -10.41 eV/cell
1.0
-0.364 2.893 0.878
-10.997 -3.910 3.047
0.883 0.870 2.782
Ag Cd
3 2
Direct
0.399 0.197 0.399 Ag
0.001 0.003 0.001 Ag
0.200 0.600 0.200 Ag
0.600 0.801 0.600 Cd
0.800 0.399 0.800 Cd



(3)
CdAg PBE-GGA optimized geometry; total moment = 0.0 μB per cell; E_form = 1 meV/atom; total energy = -7.53 eV/cell
1.0
-8.732 -2.730 -4.579
-8.420 -5.120 -2.751
-9.743 -2.599 -1.731
Ag Cd
2 2
Direct
0.997 0.997 0.997 Ag
0.253 0.253 0.253 Ag
0.744 0.744 0.744 Cd
0.506 0.506 0.506 Cd



(4)
CdAg3 PBE-GGA optimized geometry; total moment = 0.0 μB per cell; E_form = -17 meV/atom; total energy = -9.54 eV/cell
1.0
4.820 0.000 0.000
0.000 3.033 0.000
0.000 0.000 5.078
Ag Cd
3 1
Direct
0.500 0.500 0.160 Ag
0.000 0.000 0.009 Ag
0.000 0.500 0.505 Ag
0.500 0.000 0.660 Cd



(5)
Cd7Ag3 PBE-GGA optimized geometry; total moment = 0.0 μB per cell; relative energy among the computed polymorphs = 3.2 kJ per mole of atoms; E_form = 19 meV/atom; total energy = -29.54 eV/cell
1.0
5.826 0.000 0.000
0.000 9.233 0.000
0.000 -4.617 7.996
Ag Cd
6 14
Direct
0.889 0.207 0.793 Ag
0.889 0.207 0.414 Ag
0.889 0.586 0.793 Ag
0.389 0.793 0.586 Ag
0.389 0.414 0.207 Ag
0.389 0.793 0.207 Ag
0.364 0.771 0.885 Cd
0.529 0.333 0.667 Cd
0.707 0.953 0.477 Cd
0.707 0.523 0.477 Cd
0.864 0.885 0.115 Cd
0.364 0.115 0.229 Cd
0.207 0.047 0.523 Cd
0.207 0.477 0.953 Cd
0.864 0.885 0.771 Cd
0.864 0.229 0.115 Cd
0.207 0.477 0.523 Cd
0.707 0.523 0.047 Cd
0.364 0.115 0.885 Cd
0.029 0.667 0.333 Cd



(6)
Cd2Ag PBE-GGA optimized geometry; total moment = 0.0 μB per cell; relative energy among the computed polymorphs = 24.5 kJ per mole of atoms; E_form = 199 meV/atom; total energy = -16.34 eV/cell
1.0
6.788 0.000 0.000
0.000 6.788 0.000
0.000 0.000 6.788
Ag Cd
4 8
Direct
0.500 0.500 0.000 Ag
0.000 0.000 0.000 Ag
0.000 0.500 0.500 Ag
0.500 0.000 0.500 Ag
0.857 0.143 0.643 Cd
0.357 0.357 0.357 Cd
0.857 0.357 0.143 Cd
0.643 0.857 0.143 Cd
0.643 0.643 0.643 Cd
0.143 0.857 0.357 Cd
0.357 0.143 0.857 Cd
0.143 0.643 0.857 Cd



(7)
CdAg PBE-GGA optimized geometry; total moment = 0.0 μB per cell; E_form = 47 meV/atom; total energy = -58.76 eV/cell
1.0
-6.941 0.309 5.737
-0.777 -4.615 -0.692
9.708 -3.423 11.929
Cd Ag
16 16
Direct
0.159 0.000 0.000 Cd
0.091 0.250 0.750 Cd
0.659 0.000 0.500 Cd
0.409 0.750 0.250 Cd
0.909 0.250 0.250 Cd
0.841 0.000 0.000 Cd
0.591 0.750 0.750 Cd
0.409 0.250 0.750 Cd
0.591 0.250 0.250 Cd
0.341 0.500 0.000 Cd
0.841 0.500 0.500 Cd
0.659 0.500 0.000 Cd
0.341 0.000 0.500 Cd
0.091 0.750 0.250 Cd
0.909 0.750 0.750 Cd
0.159 0.500 0.500 Cd
0.250 0.750 0.837 Ag
0.250 0.250 0.337 Ag
0.750 0.750 0.163 Ag
0.250 0.250 0.163 Ag
0.000 0.500 0.913 Ag
0.000 0.000 0.587 Ag
0.750 0.250 0.663 Ag
0.500 0.000 0.913 Ag
0.000 0.000 0.413 Ag
0.500 0.500 0.587 Ag
0.750 0.750 0.337 Ag
0.500 0.500 0.413 Ag
0.750 0.250 0.837 Ag
0.500 0.000 0.087 Ag
0.250 0.750 0.663 Ag
0.000 0.500 0.087 Ag



(8)
CdAg PBE-GGA optimized geometry; total moment = 0.0 μB per cell; E_form = -33 meV/atom; total energy = -7.66 eV/cell
1.0
-0.166 -2.413 1.857
4.056 -1.828 -2.013
2.902 2.530 3.548
Ag Cd
2 2
Direct
0.000 0.000 0.003 Ag
0.500 0.500 0.831 Ag
0.500 0.000 0.512 Cd
0.000 0.500 0.321 Cd



(9)
CdAg PBE-GGA optimized geometry; total moment = 0.0 μB per cell; E_form = 177 meV/atom; total energy = -6.82 eV/cell
1.0
-0.400 -0.053 -4.247
-3.393 -0.761 2.472
-1.263 5.782 0.047
Cd Ag
2 2
Direct
0.000 0.000 0.000 Cd
0.000 0.000 0.500 Cd
0.333 0.667 0.250 Ag
0.667 0.333 0.750 Ag



(10)
CdAg3 PBE-GGA optimized geometry; total moment = 0.0 μB per cell; E_form = -26 meV/atom; total energy = -9.57 eV/cell
1.0
3.073 0.000 0.000
0.000 4.025 0.000
0.000 0.000 6.012
Ag Cd
3 1
Direct
0.000 0.000 0.996 Ag
0.500 0.500 0.750 Ag
0.000 0.000 0.504 Ag
0.500 0.500 0.250 Cd



(11)
Cd12Ag17 PBE-GGA optimized geometry; total moment = 0.0 μB per cell; E_form = 21 meV/atom; total energy = -58.84 eV/cell
1.0
-5.360 6.750 2.689
-4.492 -5.293 -5.774
2.553 -4.855 7.172
Cd Ag
12 17
Direct
0.386 0.191 0.386 Cd
0.000 0.805 0.614 Cd
0.805 0.614 0.000 Cd
0.386 0.386 0.191 Cd
0.195 0.195 0.809 Cd
0.809 0.195 0.195 Cd
0.805 0.000 0.614 Cd
0.191 0.386 0.386 Cd
0.195 0.809 0.195 Cd
0.614 0.000 0.805 Cd
0.614 0.805 0.000 Cd
0.000 0.614 0.805 Cd
0.415 0.415 0.725 Ag
0.658 0.658 0.658 Ag
0.000 0.000 0.000 Ag
0.690 0.690 0.275 Ag
0.310 0.585 0.000 Ag
0.000 0.342 0.000 Ag
0.275 0.690 0.690 Ag
0.585 0.310 0.000 Ag
0.310 0.000 0.585 Ag
0.585 0.000 0.310 Ag
0.342 0.000 0.000 Ag
0.415 0.725 0.415 Ag
0.000 0.585 0.310 Ag
0.000 0.000 0.342 Ag
0.000 0.310 0.585 Ag
0.690 0.275 0.690 Ag
0.725 0.415 0.415 Ag



(12)
CdAg PBE-GGA optimized geometry; total moment = 0.0 μB per cell; E_form = 64 meV/atom; total energy = -29.10 eV/cell
1.0
-5.404 5.542 -7.318
-9.161 -2.722 4.705
0.163 2.443 1.730
Cd Ag
8 8
Direct
0.670 0.397 0.500 Cd
0.103 0.170 0.000 Cd
0.897 0.830 0.000 Cd
0.603 0.670 0.500 Cd
0.330 0.603 0.500 Cd
0.397 0.330 0.500 Cd
0.170 0.897 0.000 Cd
0.830 0.103 0.000 Cd
0.863 0.592 0.500 Ag
0.137 0.408 0.500 Ag
0.092 0.637 0.000 Ag
0.908 0.363 0.000 Ag
0.408 0.863 0.500 Ag
0.592 0.137 0.500 Ag
0.363 0.092 0.000 Ag
0.637 0.908 0.000 Ag



Which of these has the lowest E_form?
number 8